# 1
The following is a PBE calculation of a relaxed Er7Tl2Bi2 crystal, from Alexandria.

Properties
V ... 348.4 Å³/f.u.
Crystal system ... monoclinic
D(E_F) ... 0.911 states/eV per atom
Formation energy from the elements ... -0.131 eV per atom
DFT total energy ... -91.7 eV per cell

Unit cell a=11.0916 b=8.6217 c=7.4108 alpha=90.00 beta=100.49 gamma=90.00
With the nearest neighbours (Å) after each atom.
Space group C2/m (No. 12)
Asymmetric unit:
Er1 0.0000 0.0000 0.0000 x2  2 Bi 3.19, 4 Er 3.47
Er2 0.0180 0.5000 0.2821 x4  2 Bi 3.07-3.26, 2 Tl 3.23, 1 Er 3.33
Er3 0.2357 0.1963 0.2804 x8  2 Bi 3.09-3.11, 2 Tl 3.27-3.33, 2 Er 3.34-3.39
Tl1 0.0000 0.1782 0.5000 x4  1 Tl 3.07, 6 Er 3.23-3.33
Bi1 0.2202 0.5000 0.0497 x4  7 Er 3.07-3.26

# 2
The following is a PBE calculation of a relaxed GdAsAu crystal, from Alexandria.

Properties
V ... 68.5 Å³/f.u.
Crystal system ... tetragonal
D(E_F) ... 0.627 states/eV per atom
Formation energy from the elements ... -0.701 eV per atom
DFT total energy ... -48.2 eV per cell

Unit cell a=3.9407 b=3.9407 c=8.8186 alpha=90.00 beta=90.00 gamma=90.00
With the nearest neighbours (Å) after each atom.
Space group I4mm (No. 107)
Asymmetric unit:
Gd1 0.0000 0.0000 0.0000 x2  5 Au 2.93-3.15, 5 As 3.06-3.15
As1 0.0000 0.0000 0.3571 x2  1 Au 2.74, 4 Gd 3.06
Au1 0.0000 0.0000 0.6677 x2  1 As 2.74, 1 Gd 2.93

# 3
The following is a PBE calculation of a relaxed Li3GeP crystal, from Alexandria.

Properties
V ... 96.3 Å³/f.u.
Crystal system ... cubic
ΔE to the lowest computed polymorph ... 278 meV per atom
D(E_F) ... 0.496 states/eV per atom
Formation energy from the elements ... -0.039 eV per atom
DFT total energy ... -16.0 eV per cell

Unit cell a=4.5839 b=4.5839 c=4.5839 alpha=90.00 beta=90.00 gamma=90.00
With the nearest neighbours (Å) after each atom.
Space group Pm-3m (No. 221)
Asymmetric unit:
Li1 0.0000 0.0000 0.5000 x3  2 P 2.29
Ge1 0.5000 0.5000 0.5000 x1  12 Li 3.24
P1 0.0000 0.0000 0.0000 x1  6 Li 2.29

# 4
The following is a PBE calculation of a relaxed Ac2GaCuN crystal, from Alexandria.

Properties
V ... 120.5 Å³/f.u.
Crystal system ... monoclinic
Formation energy from raw total energies ... -585 meV/atom
D(E_F) ... 0.806 states/eV per atom
DFT total energy ... -53.2 eV per cell

Unit cell a=7.1640 b=3.9960 c=8.8160 alpha=90.00 beta=107.34 gamma=90.00
With the nearest neighbours (Å) after each atom.
Space group P2_1/m (No. 11)
Asymmetric unit:
Ac1 0.1996 0.2500 0.3862 x2  2 N 2.76
Ac2 0.2115 0.2500 0.9601 x2  3 N 2.53-2.79
Ga1 0.3335 0.7500 0.6972 x2  2 Cu 2.49
Cu1 0.4492 0.7500 0.2403 x2  1 N 2.01
N1 0.1553 0.7500 0.1624 x2  1 Cu 2.01

# 5
The following is a PBE calculation of a relaxed CsRbOs2 crystal, from Alexandria.

Properties
V ... 131.7 Å³/f.u.
Crystal system ... cubic
D(E_F) ... 1.822 states/eV per atom
Formation energy from the elements ... 2.756 eV per atom
DFT total energy ... -53.0 eV per cell

Unit cell a=8.0773 b=8.0773 c=8.0773 alpha=90.00 beta=90.00 gamma=90.00
With the nearest neighbours (Å) after each atom.
Space group Fm-3m (No. 225)
Asymmetric unit:
Cs1 0.0000 0.0000 0.0000 x4  8 Os 3.50
Rb1 0.0000 0.0000 0.5000 x4  8 Os 3.50
Os1 0.2500 0.2500 0.2500 x8  4 Rb 3.50, 4 Cs 3.50

# 6
The following is a PBE calculation of a relaxed TaRhPb3 crystal, from Alexandria.

Properties
V ... 140.2 Å³/f.u.
Crystal system ... cubic
ΔE to the lowest computed polymorph ... 0 meV per atom
D(E_F) ... 1.042 states/eV per atom
Formation energy from the elements ... 1.082 eV per atom
DFT total energy ... -24.9 eV per cell

Unit cell a=5.1948 b=5.1948 c=5.1948 alpha=90.00 beta=90.00 gamma=90.00
With the nearest neighbours (Å) after each atom.
Space group Pm-3m (No. 221)
Asymmetric unit:
Ta1 0.0000 0.0000 0.0000 x1  12 Pb 3.67
Rh1 0.5000 0.5000 0.5000 x1  6 Pb 2.60
Pb1 0.0000 0.5000 0.5000 x3  2 Rh 2.60